! HWIO2 PBE+U relaxed; values from VASP
&SYSTEM
  ibrav = 0, nat = 5, ntyp = 4
/
ATOMIC_SPECIES
H 1.01 H.upf
W 183.84 W.upf
I 126.90 I.upf
O 16.00 O.upf
CELL_PARAMETERS angstrom
3.8466 0.0000 0.0000
0.0000 3.8466 0.0000
0.0000 0.0000 5.9590
ATOMIC_POSITIONS crystal
H 0.0000 0.0000 0.0000
W 0.5000 0.5000 0.5000
I 0.5000 0.5000 0.0000
O 0.0000 0.5000 0.5000
O 0.5000 0.0000 0.5000
! - ΔE to the lowest computed polymorph (eV/atom) = 0.000